(one)
Here is an optimized crystal structure of TbSmTmMg from Alexandria via LeMat-Bulk. Energies are from PBE.

The density of states at the Fermi level is 4.44 states/eV per cell.

```
TbSmTmMg
1.0
-2.768 -1.724 -1.536
-1.013 -1.248 3.227
-5.279 7.401 1.205
Tb Tm Sm Mg
1 1 1 1
direct
0.500 0.500 0.802
0.500 0.500 0.341
0.000 0.000 0.074
0.000 0.000 0.568
```


(two)
Here is an optimized crystal structure of TbSmTmMg from Alexandria via LeMat-Bulk. Energies are from PBE.

The density of states at the Fermi level is 4.48 states/eV per cell.

```
TbSmTmMg
1.0
-4.108 -0.657 3.616
-0.234 -4.545 3.110
1.014 0.307 5.409
Sm Tb Tm Mg
1 1 1 1
direct
0.750 0.750 0.750
0.250 0.250 0.250
0.500 0.500 0.500
0.000 0.000 0.000
```


Stability, highest: (one)


(one)
Here is an optimized crystal structure of TbSmYMg from Alexandria via LeMat-Bulk. Energies are from PBE.

The density of states at the Fermi level is 4.71 states/eV per cell.

```
TbSmYMg
1.0
3.643 0.000 0.000
0.000 3.643 0.000
0.000 0.000 9.140
Mg Sm Y Tb
1 1 1 1
direct
0.000 0.000 0.571
0.000 0.000 0.072
0.500 0.500 0.799
0.500 0.500 0.342
```


(two)
Here is an optimized crystal structure of TbSmYMg from Alexandria via LeMat-Bulk. Energies are from PBE.

The density of states at the Fermi level is 5.84 states/eV per cell.

```
TbSmYMg
1.0
-0.768 -2.015 -5.115
-0.977 -5.415 -0.732
-5.036 -1.724 -1.577
Mg Tb Sm Y
1 1 1 1
direct
0.500 0.500 0.500
0.000 0.000 0.000
0.750 0.750 0.750
0.250 0.250 0.250
```


Stability, highest: (one)


(one)
Here is an optimized crystal structure of Sm3MgTc from Alexandria via LeMat-Bulk. Energies are from PBE.

The density of states at the Fermi level is 4.04 states/eV per cell.

```
Sm3MgTc
1.0
5.412 0.000 0.000
0.000 5.412 0.000
0.000 0.000 5.412
Sm Mg Tc
3 1 1
direct
0.500 0.000 0.000
0.000 0.500 0.000
0.000 0.000 0.500
0.500 0.500 0.500
0.000 0.000 0.000
```


(two)
Here is an optimized crystal structure of Sm3MgTc from Alexandria via LeMat-Bulk. Energies are from PBE.

The density of states at the Fermi level is 7.87 states/eV per cell.

```
Sm3MgTc
1.0
-2.458 5.155 -0.717
-6.110 -2.964 -0.368
0.111 -1.146 7.382
Sm Tc Mg
6 2 2
direct
0.015 0.998 0.731
0.578 0.250 0.888
0.015 0.502 0.731
0.985 0.002 0.269
0.985 0.498 0.269
0.422 0.750 0.112
0.183 0.250 0.044
0.817 0.750 0.956
0.519 0.250 0.399
0.481 0.750 0.601
```


Stability, highest: (two)


(one)
Here is an optimized crystal structure of Sm3MgTe4 from Alexandria via LeMat-Bulk. Energies are from PBE.

The density of states at the Fermi level is 4.27 states/eV per cell.

```
Sm3MgTe4
1.0
4.311 0.000 0.000
2.156 3.734 0.000
2.156 1.245 14.975
Mg Sm Te
1 3 4
direct
0.000 0.000 0.000
0.750 0.750 0.750
0.250 0.250 0.250
0.500 0.500 0.500
0.875 0.875 0.374
0.629 0.629 0.114
0.125 0.125 0.626
0.371 0.371 0.886
```


(two)
Here is an optimized crystal structure of Sm3MgTe4 from Alexandria via LeMat-Bulk. Energies are from PBE.

The density of states at the Fermi level is 6.36 states/eV per cell.

```
Sm3MgTe4
1.0
-2.971 -1.540 -2.694
5.492 -1.523 -5.187
-0.862 -6.200 4.495
Te Sm Mg
4 3 1
direct
0.000 0.766 0.766
0.500 0.759 0.241
0.500 0.241 0.759
0.000 0.234 0.234
0.500 0.500 0.500
0.000 0.000 0.500
0.000 0.500 0.000
0.500 0.000 0.000
```


Stability, highest: (one)


(one)
Here is an optimized crystal structure of SmThMg2 from Alexandria via LeMat-Bulk. Energies are from PBE.

The density of states at the Fermi level is 4.68 states/eV per cell.

```
SmThMg2
1.0
-2.459 1.016 4.736
-3.802 -3.399 1.871
1.037 -3.121 4.323
Th Sm Mg
1 1 2
direct
0.000 0.000 0.000
0.500 0.500 0.500
0.750 0.750 0.750
0.250 0.250 0.250
```


(two)
Here is an optimized crystal structure of SmThMg2 from Alexandria via LeMat-Bulk. Energies are from PBE.

The density of states at the Fermi level is 5.18 states/eV per cell.

```
SmThMg2
1.0
3.392 0.000 0.000
1.696 2.937 0.000
1.696 0.979 11.609
Mg Th Sm
2 1 1
direct
0.751 0.751 0.747
0.249 0.249 0.253
0.000 0.000 0.000
0.500 0.500 0.500
```


Stability, highest: (one)


(one)
Here is an optimized crystal structure of SmYThMg from Alexandria via LeMat-Bulk. Energies are from PBE.

The density of states at the Fermi level is 7.63 states/eV per cell.

```
SmYThMg
1.0
5.570 0.000 0.000
2.785 4.824 0.000
2.785 1.608 4.548
Mg Sm Y Th
1 1 1 1
direct
0.750 0.750 0.750
0.500 0.500 0.500
0.000 0.000 0.000
0.250 0.250 0.250
```


(two)
Here is an optimized crystal structure of SmYThMg from Alexandria via LeMat-Bulk. Energies are from PBE.

The density of states at the Fermi level is 4.18 states/eV per cell.

```
SmYThMg
1.0
-1.075 0.623 3.396
-3.082 -1.776 -0.650
3.984 -7.904 2.709
Th Mg Sm Y
1 1 1 1
direct
0.500 0.500 0.819
0.500 0.500 0.325
0.000 0.000 0.081
0.000 0.000 0.560
```


Stability, highest: (two)